# 1
VASP calculation (PBE) on MgTaCd2 after structural relaxation.

Geometry as CIF:
```
data_MgTaCd2
_chemical_formula_sum 'Mg2 Ta2 Cd4'
_cell_length_a 4.169
_cell_length_b 4.176
_cell_length_c 9.255
_cell_angle_alpha 90.00
_cell_angle_beta 90.00
_cell_angle_gamma 90.00
_symmetry_space_group_name_H-M 'C m m 2'
_symmetry_Int_Tables_number 35
_symmetry_space_group_name_Hall 'C 2 -2'
loop_
_atom_site_label
_atom_site_type_symbol
_atom_site_fract_x
_atom_site_fract_y
_atom_site_fract_z
Mg1 Mg 0.000 0.000 0.000
Ta1 Ta 0.000 0.500 0.764
Cd1 Cd 0.000 0.000 0.520
Cd2 Cd 0.000 0.500 0.256
```


# 2
VASP calculation (PBE) on Mg2TaCd after structural relaxation.

Geometry as CIF:
```
data_Mg2TaCd
_chemical_formula_sum 'Mg4 Ta2 Cd2'
_cell_length_a 2.987
_cell_length_b 5.173
_cell_length_c 10.471
_cell_angle_alpha 90.00
_cell_angle_beta 90.00
_cell_angle_gamma 90.00
_symmetry_space_group_name_H-M 'I m m 2'
_symmetry_Int_Tables_number 44
_symmetry_space_group_name_Hall 'I 2 -2'
loop_
_atom_site_label
_atom_site_type_symbol
_atom_site_fract_x
_atom_site_fract_y
_atom_site_fract_z
Mg1 Mg 0.000 0.000 0.000
Mg2 Mg 0.000 0.500 0.241
Ta1 Ta 0.000 0.000 0.491
Cd1 Cd 0.000 0.500 0.743
```


# 3
# PBE MgTa2Cd, optimized geometry
data_MgTa2Cd
_chemical_formula_sum 'Mg2 Ta4 Cd2'
_cell_length_a 3.081
_cell_length_b 5.148
_cell_length_c 9.806
_cell_angle_alpha 90.00
_cell_angle_beta 90.00
_cell_angle_gamma 90.00
_symmetry_space_group_name_H-M 'I m m 2'
_symmetry_Int_Tables_number 44
_symmetry_space_group_name_Hall 'I 2 -2'
loop_
_atom_site_label
_atom_site_type_symbol
_atom_site_fract_x
_atom_site_fract_y
_atom_site_fract_z
Mg1 Mg 0.000 0.000 0.000
Ta1 Ta 0.000 0.000 0.506
Ta2 Ta 0.000 0.500 0.235
Cd1 Cd 0.000 0.500 0.746
# **Energy above the most stable polymorph in this dataset**: 0.247 eV/atom


# 4
# PBE MgTa2Cd, optimized geometry
data_MgTa2Cd
_chemical_formula_sum 'Mg1 Ta2 Cd1'
_cell_length_a 2.841
_cell_length_b 2.841
_cell_length_c 9.438
_cell_angle_alpha 90.00
_cell_angle_beta 90.00
_cell_angle_gamma 90.00
_symmetry_space_group_name_H-M 'P 4/m m m'
_symmetry_Int_Tables_number 123
_symmetry_space_group_name_Hall '-P 4 2'
loop_
_atom_site_label
_atom_site_type_symbol
_atom_site_fract_x
_atom_site_fract_y
_atom_site_fract_z
Mg1 Mg 0.000 0.000 0.000
Ta1 Ta 0.500 0.500 0.250
Cd1 Cd 0.000 0.000 0.500
# **Energy above the most stable polymorph in this dataset**: 0.230 eV/atom


# 5
# PBE MgTa2Cd, optimized geometry
data_MgTa2Cd
_chemical_formula_sum 'Mg2 Ta4 Cd2'
_cell_length_a 3.380
_cell_length_b 4.524
_cell_length_c 10.035
_cell_angle_alpha 90.00
_cell_angle_beta 90.00
_cell_angle_gamma 90.00
_symmetry_space_group_name_H-M 'C m m m'
_symmetry_Int_Tables_number 65
_symmetry_space_group_name_Hall '-C 2 2'
loop_
_atom_site_label
_atom_site_type_symbol
_atom_site_fract_x
_atom_site_fract_y
_atom_site_fract_z
Mg1 Mg 0.000 0.000 0.000
Ta1 Ta 0.000 0.500 0.249
Cd1 Cd 0.000 0.000 0.500
# **Energy above the most stable polymorph in this dataset**: 0.229 eV/atom


# 6
VASP calculation (PBE) on MgTaCd after structural relaxation.

Geometry as CIF:
```
data_MgTaCd
_chemical_formula_sum 'Mg4 Ta4 Cd4'
_cell_length_a 6.472
_cell_length_b 6.472
_cell_length_c 6.472
_cell_angle_alpha 90.00
_cell_angle_beta 90.00
_cell_angle_gamma 90.00
_symmetry_space_group_name_H-M 'F -4 3 m'
_symmetry_Int_Tables_number 216
_symmetry_space_group_name_Hall 'F -4 2 3'
loop_
_atom_site_label
_atom_site_type_symbol
_atom_site_fract_x
_atom_site_fract_y
_atom_site_fract_z
Mg1 Mg 0.000 0.000 0.000
Ta1 Ta 0.000 0.000 0.500
Cd1 Cd 0.250 0.250 0.250
```


# 7
VASP calculation (PBE) on MgTaCd2 after structural relaxation.

Geometry as CIF:
```
data_MgTaCd2
_chemical_formula_sum 'Mg1 Ta1 Cd2'
_cell_length_a 2.956
_cell_length_b 4.440
_cell_length_c 6.155
_cell_angle_alpha 90.00
_cell_angle_beta 90.00
_cell_angle_gamma 90.00
_symmetry_space_group_name_H-M 'P m m 2'
_symmetry_Int_Tables_number 25
_symmetry_space_group_name_Hall 'P 2 -2'
loop_
_atom_site_label
_atom_site_type_symbol
_atom_site_fract_x
_atom_site_fract_y
_atom_site_fract_z
Mg1 Mg 0.000 0.000 0.000
Ta1 Ta 0.500 0.500 0.243
Cd1 Cd 0.000 0.000 0.476
Cd2 Cd 0.500 0.500 0.752
```


# 8
VASP calculation (PBE) on MgTaCd2W after structural relaxation.

Geometry as CIF:
```
data_MgTaCd2W
_chemical_formula_sum 'Mg1 Ta1 Cd2 W1'
_cell_length_a 5.301
_cell_length_b 5.301
_cell_length_c 5.258
_cell_angle_alpha 90.00
_cell_angle_beta 90.00
_cell_angle_gamma 90.00
_symmetry_space_group_name_H-M 'P 4/m m m'
_symmetry_Int_Tables_number 123
_symmetry_space_group_name_Hall '-P 4 2'
loop_
_atom_site_label
_atom_site_type_symbol
_atom_site_fract_x
_atom_site_fract_y
_atom_site_fract_z
Mg1 Mg 0.000 0.000 0.000
Ta1 Ta 0.000 0.000 0.500
Cd1 Cd 0.000 0.500 0.500
W1 W 0.500 0.500 0.000
```


# 9
# PBE Y2MgTaCd, optimized geometry
data_Y2MgTaCd
_chemical_formula_sum 'Y2 Mg1 Ta1 Cd1'
_cell_length_a 5.401
_cell_length_b 5.401
_cell_length_c 4.968
_cell_angle_alpha 90.00
_cell_angle_beta 90.00
_cell_angle_gamma 90.00
_symmetry_space_group_name_H-M 'P 4/m m m'
_symmetry_Int_Tables_number 123
_symmetry_space_group_name_Hall '-P 4 2'
loop_
_atom_site_label
_atom_site_type_symbol
_atom_site_fract_x
_atom_site_fract_y
_atom_site_fract_z
Y1 Y 0.000 0.500 0.000
Mg1 Mg 0.000 0.000 0.000
Ta1 Ta 0.000 0.000 0.500
Cd1 Cd 0.500 0.500 0.500
# **Energy above the most stable polymorph in this dataset**: 0.311 eV/atom


# 10
# PBE Y2MgTaCd, optimized geometry
data_Y2MgTaCd
_chemical_formula_sum 'Y2 Mg1 Ta1 Cd1'
_cell_length_a 5.371
_cell_length_b 5.371
_cell_length_c 5.512
_cell_angle_alpha 90.00
_cell_angle_beta 90.00
_cell_angle_gamma 90.00
_symmetry_space_group_name_H-M 'P 4/m m m'
_symmetry_Int_Tables_number 123
_symmetry_space_group_name_Hall '-P 4 2'
loop_
_atom_site_label
_atom_site_type_symbol
_atom_site_fract_x
_atom_site_fract_y
_atom_site_fract_z
Y1 Y 0.000 0.500 0.000
Mg1 Mg 0.000 0.000 0.500
Ta1 Ta 0.500 0.500 0.000
Cd1 Cd 0.500 0.500 0.500
# **Energy above the most stable polymorph in this dataset**: 0.000 eV/atom


# 11
# PBE TbMgCd4, optimized geometry
data_TbMgCd4
_chemical_formula_sum 'Tb2 Mg2 Cd8'
_cell_length_a 4.032
_cell_length_b 4.032
_cell_length_c 19.186
_cell_angle_alpha 90.00
_cell_angle_beta 90.00
_cell_angle_gamma 90.00
_symmetry_space_group_name_H-M 'I -4 m 2'
_symmetry_Int_Tables_number 119
_symmetry_space_group_name_Hall 'I -4 -2'
loop_
_atom_site_label
_atom_site_type_symbol
_atom_site_fract_x
_atom_site_fract_y
_atom_site_fract_z
Tb1 Tb 0.000 0.000 0.000
Mg1 Mg 0.000 0.500 0.750
Cd1 Cd 0.000 0.000 0.423
Cd2 Cd 0.000 0.500 0.177
# **Energy above the most stable polymorph in this dataset**: 0.212 eV/atom


# 12
VASP calculation (PBE) on Tb4MgCd7 after structural relaxation.

Geometry as CIF:
```
data_Tb4MgCd7
_chemical_formula_sum 'Tb8 Mg2 Cd14'
_cell_length_a 12.221
_cell_length_b 5.403
_cell_length_c 11.328
_cell_angle_alpha 90.00
_cell_angle_beta 120.63
_cell_angle_gamma 90.00
_symmetry_space_group_name_H-M 'C 1 2/m 1'
_symmetry_Int_Tables_number 12
_symmetry_space_group_name_Hall '-C 2y'
loop_
_atom_site_label
_atom_site_type_symbol
_atom_site_fract_x
_atom_site_fract_y
_atom_site_fract_z
Tb1 Tb 0.088 0.000 0.278
Tb2 Tb 0.244 0.000 0.821
Mg1 Mg 0.000 0.500 0.500
Cd1 Cd 0.000 0.000 0.500
Cd2 Cd 0.076 0.500 0.835
Cd3 Cd 0.132 0.000 0.020
Cd4 Cd 0.201 0.500 0.421
```


# 13
# PBE TbMg4Cd2, optimized geometry
data_TbMg4Cd2
_chemical_formula_sum 'Tb2 Mg8 Cd4'
_cell_length_a 8.415
_cell_length_b 8.415
_cell_length_c 4.708
_cell_angle_alpha 90.00
_cell_angle_beta 90.00
_cell_angle_gamma 90.00
_symmetry_space_group_name_H-M 'P 42/m n m'
_symmetry_Int_Tables_number 136
_symmetry_space_group_name_Hall '-P 4n 2n'
loop_
_atom_site_label
_atom_site_type_symbol
_atom_site_fract_x
_atom_site_fract_y
_atom_site_fract_z
Tb1 Tb 0.000 0.000 0.000
Mg1 Mg 0.101 0.349 0.500
Cd1 Cd 0.207 0.793 0.500
# **Energy above the most stable polymorph in this dataset**: 0.000 eV/atom


# 14
VASP calculation (PBE) on TbMg10Cd2 after structural relaxation.

Geometry as CIF:
```
data_TbMg10Cd2
_chemical_formula_sum 'Tb4 Mg40 Cd8'
_cell_length_a 5.955
_cell_length_b 14.200
_cell_length_c 14.308
_cell_angle_alpha 90.00
_cell_angle_beta 90.00
_cell_angle_gamma 90.00
_symmetry_space_group_name_H-M 'F m m m'
_symmetry_Int_Tables_number 69
_symmetry_space_group_name_Hall '-F 2 2'
loop_
_atom_site_label
_atom_site_type_symbol
_atom_site_fract_x
_atom_site_fract_y
_atom_site_fract_z
Tb1 Tb 0.000 0.000 0.000
Mg1 Mg 0.000 0.107 0.395
Mg2 Mg 0.000 0.176 0.173
Mg3 Mg 0.250 0.000 0.250
Cd1 Cd 0.250 0.250 0.000
```


# 15
VASP calculation (PBE) on Tb2Mg2Cd15 after structural relaxation.

Geometry as CIF:
```
data_Tb2Mg2Cd15
_chemical_formula_sum 'Tb6 Mg6 Cd45'
_cell_length_a 10.0003
_cell_length_b 10.0003
_cell_length_c 15.0707
_cell_angle_alpha 90.00
_cell_angle_beta 90.00
_cell_angle_gamma 120.00
_symmetry_space_group_name_H-M 'R -3 m'
_symmetry_Int_Tables_number 166
_symmetry_space_group_name_Hall '-R 3 2"'
loop_
_atom_site_label
_atom_site_type_symbol
_atom_site_fract_x
_atom_site_fract_y
_atom_site_fract_z
Tb1 Tb 0.0000 0.0000 0.1680
Mg1 Mg 0.0000 0.0000 0.3980
Cd1 Cd 0.0000 0.2973 0.5000
Cd2 Cd 0.0000 0.5000 0.0000
Cd3 Cd 0.0134 0.5067 0.6440
```


# 16
VASP calculation (PBE) on TbMg5Cd3 after structural relaxation.

Geometry as CIF:
```
data_TbMg5Cd3
_chemical_formula_sum 'Tb2 Mg10 Cd6'
_cell_length_a 8.7879
_cell_length_b 8.7879
_cell_length_c 6.2471
_cell_angle_alpha 90.00
_cell_angle_beta 90.00
_cell_angle_gamma 120.00
_symmetry_space_group_name_H-M 'P 63/m c m'
_symmetry_Int_Tables_number 193
_symmetry_space_group_name_Hall '-P 6c 2'
loop_
_atom_site_label
_atom_site_type_symbol
_atom_site_fract_x
_atom_site_fract_y
_atom_site_fract_z
Tb1 Tb 0.0000 0.0000 0.0000
Mg1 Mg 0.0000 0.3429 0.2500
Mg2 Mg 0.3333 0.6667 0.0000
Cd1 Cd 0.0000 0.3292 0.7500
```


# 17
# PBE TbMg3Cd, optimized geometry
data_TbMg3Cd
_chemical_formula_sum 'Tb2 Mg6 Cd2'
_cell_length_a 3.381
_cell_length_b 7.951
_cell_length_c 9.504
_cell_angle_alpha 107.11
_cell_angle_beta 90.01
_cell_angle_gamma 90.00
_symmetry_space_group_name_H-M 'P 1'
_symmetry_Int_Tables_number 1
_symmetry_space_group_name_Hall 'P 1'
loop_
_atom_site_label
_atom_site_type_symbol
_atom_site_fract_x
_atom_site_fract_y
_atom_site_fract_z
Tb1 Tb 0.000 0.000 0.000
Tb2 Tb 0.500 0.274 0.320
Mg1 Mg 0.497 0.823 0.234
Mg2 Mg 0.499 0.231 0.805
Mg3 Mg 0.499 0.820 0.678
Mg4 Mg 0.998 0.450 0.086
Mg5 Mg 0.999 0.041 0.514
Mg6 Mg 0.999 0.454 0.642
Cd1 Cd 0.000 0.639 0.412
Cd2 Cd 0.500 0.635 0.908
# **Energy above the most stable polymorph in this dataset**: 0.000 eV/atom


# 18
# PBE TbMg2Cd, optimized geometry
data_TbMg2Cd
_chemical_formula_sum 'Tb1 Mg2 Cd1'
_cell_length_a 3.398
_cell_length_b 3.398
_cell_length_c 8.473
_cell_angle_alpha 90.00
_cell_angle_beta 90.00
_cell_angle_gamma 90.00
_symmetry_space_group_name_H-M 'P 4/m m m'
_symmetry_Int_Tables_number 123
_symmetry_space_group_name_Hall '-P 4 2'
loop_
_atom_site_label
_atom_site_type_symbol
_atom_site_fract_x
_atom_site_fract_y
_atom_site_fract_z
Tb1 Tb 0.000 0.000 0.000
Mg1 Mg 0.500 0.500 0.281
Cd1 Cd 0.000 0.000 0.500
# **Energy above the most stable polymorph in this dataset**: 0.097 eV/atom


# 19
VASP calculation (PBE) on Tb3Mg3Cd8 after structural relaxation.

Geometry as CIF:
```
data_Tb3Mg3Cd8
_chemical_formula_sum 'Tb6 Mg6 Cd16'
_cell_length_a 4.865
_cell_length_b 9.887
_cell_length_c 13.954
_cell_angle_alpha 90.00
_cell_angle_beta 90.00
_cell_angle_gamma 90.00
_symmetry_space_group_name_H-M 'I m m m'
_symmetry_Int_Tables_number 71
_symmetry_space_group_name_Hall '-I 2 2'
loop_
_atom_site_label
_atom_site_type_symbol
_atom_site_fract_x
_atom_site_fract_y
_atom_site_fract_z
Tb1 Tb 0.000 0.000 0.000
Tb2 Tb 0.000 0.000 0.287
Mg1 Mg 0.000 0.174 0.500
Mg2 Mg 0.000 0.500 0.000
Cd1 Cd 0.000 0.285 0.139
Cd2 Cd 0.000 0.361 0.345
```


# 20
VASP calculation (PBE) on TbMg3Cd2 after structural relaxation.

Geometry as CIF:
```
data_TbMg3Cd2
_chemical_formula_sum 'Tb4 Mg12 Cd8'
_cell_length_a 16.919
_cell_length_b 4.771
_cell_length_c 7.575
_cell_angle_alpha 90.00
_cell_angle_beta 110.71
_cell_angle_gamma 90.00
_symmetry_space_group_name_H-M 'C 1 2/m 1'
_symmetry_Int_Tables_number 12
_symmetry_space_group_name_Hall '-C 2y'
loop_
_atom_site_label
_atom_site_type_symbol
_atom_site_fract_x
_atom_site_fract_y
_atom_site_fract_z
Tb1 Tb 0.115 0.000 0.183
Mg1 Mg 0.072 0.000 0.704
Mg2 Mg 0.122 0.500 0.506
Mg3 Mg 0.199 0.500 0.931
Cd1 Cd 0.021 0.500 0.836
Cd2 Cd 0.238 0.000 0.653
```


Number 1: energy of formation from the pure elements 3.5 kcal/mol of atoms, D(E_F) 2.33 states/eV/f.u., spin magnetization 0.00 μB/f.u.. Number 2: energy of formation from the pure elements 8.1 kcal/mol of atoms, D(E_F) 3.96 states/eV/f.u., spin magnetization 0.00 μB/f.u.. Number 3: energy of formation from the pure elements 8.2 kcal/mol of atoms, D(E_F) 2.23 states/eV/f.u., spin magnetization 0.00 μB/f.u.. Number 4: energy of formation from the pure elements 7.8 kcal/mol of atoms, D(E_F) 3.64 states/eV/f.u., spin magnetization 0.00 μB/f.u.. Number 5: energy of formation from the pure elements 7.8 kcal/mol of atoms, D(E_F) 4.89 states/eV/f.u., spin magnetization 0.00 μB/f.u.. Number 6: energy of formation from the pure elements 21.8 kcal/mol of atoms, D(E_F) 3.24 states/eV/f.u., spin magnetization 0.00 μB/f.u.. Number 7: energy of formation from the pure elements 6.8 kcal/mol of atoms, D(E_F) 3.41 states/eV/f.u., spin magnetization 0.00 μB/f.u.. Number 8: energy of formation from the pure elements 51.2 kcal/mol of atoms, D(E_F) 4.52 states/eV/f.u., spin magnetization 1.83 μB/f.u.. Number 9: energy of formation from the pure elements 23.5 kcal/mol of atoms, D(E_F) 2.73 states/eV/f.u., spin magnetization 0.00 μB/f.u.. Number 10: energy of formation from the pure elements 16.4 kcal/mol of atoms, D(E_F) 3.75 states/eV/f.u., spin magnetization 0.00 μB/f.u.. Number 11: energy of formation from the pure elements -0.4 kcal/mol of atoms, D(E_F) 3.35 states/eV/f.u., spin magnetization 0.00 μB/f.u.. Number 12: energy of formation from the pure elements -2.6 kcal/mol of atoms, D(E_F) 7.55 states/eV/f.u., spin magnetization 0.00 μB/f.u.. Number 13: energy of formation from the pure elements -2.6 kcal/mol of atoms, D(E_F) 3.70 states/eV/f.u., spin magnetization 0.00 μB/f.u.. Number 14: energy of formation from the pure elements -1.6 kcal/mol of atoms, D(E_F) 5.32 states/eV/f.u., spin magnetization 0.00 μB/f.u.. Number 15: energy of formation from the pure elements -2.7 kcal/mol of atoms, D(E_F) 5.33 states/eV/f.u., spin magnetization 0.00 μB/f.u.. Number 16: energy of formation from the pure elements -2.9 kcal/mol of atoms, D(E_F) 4.02 states/eV/f.u., spin magnetization 0.00 μB/f.u.. Number 17: energy of formation from the pure elements -2.5 kcal/mol of atoms, D(E_F) 3.14 states/eV/f.u., spin magnetization 0.00 μB/f.u.. Number 18: energy of formation from the pure elements -2.4 kcal/mol of atoms, D(E_F) 3.26 states/eV/f.u., spin magnetization 0.05 μB/f.u.. Number 19: energy of formation from the pure elements -4.9 kcal/mol of atoms, D(E_F) 9.54 states/eV/f.u., spin magnetization 0.00 μB/f.u.. Number 20: energy of formation from the pure elements -3.5 kcal/mol of atoms, D(E_F) 3.44 states/eV/f.u., spin magnetization 0.00 μB/f.u..